Ce3NdOs3 | PBE | relaxed

It has space group R-3 (No. 148, hexagonal axes), with a = 8.8544 Å, b = 8.8544 Å, c = 15.6863 Å, α = 90.00°, β = 90.00° and γ = 120.00°. The inequivalent atoms are Ce at (0.0193, 0.2848, 0.1052), Nd at (0.0000, 0.0000, 0.3320) and Os at (0.0124, 0.3711, 0.9339).

The energy relative to the elements comes out at -0.070 eV per atom.